P | Compound: P2RuRh
Source: Alexandria
Functional: GGA-PBE
Structure: optimized geometry

It has space group Pmmm (No. 47), with a = 2.961 Å, b = 3.783 Å, c = 5.041 Å, α = 90.00°, β = 90.00° and γ = 90.00°. The asymmetric unit holds P at (0.000, 0.000, 0.000), P at (0.500, 0.000, 0.500), Ru at (0.000, 0.500, 0.500) and Rh at (0.500, 0.500, 0.000).

For the magnetic moment, the calculation gives 0.0 μB/cell. The density is 7.82 g/cm³.

Q | Compound: P2RuRh
Source: Alexandria
Functional: GGA-PBE
Structure: optimized geometry

It has space group P2/m (No. 10), with a = 3.941 Å, b = 3.785 Å, c = 4.105 Å, α = 90.00°, β = 92.76° and γ = 90.00°. The asymmetric unit holds P at (0.182, 0.000, 0.309), Ru at (0.000, 0.500, 0.000) and Rh at (0.500, 0.500, 0.500).

For the magnetic moment, the calculation gives 0.0 μB/cell. The density is 7.22 g/cm³.

R | Compound: P2RuRh
Source: Alexandria
Functional: GGA-PBE
Structure: optimized geometry

It has space group F-43m (No. 216), with a = 6.067 Å, b = 6.067 Å, c = 6.067 Å, α = 90.00°, β = 90.00° and γ = 90.00°. The asymmetric unit holds P at (0.000, 0.000, 0.000), P at (0.250, 0.250, 0.250), Ru at (0.000, 0.000, 0.500) and Rh at (0.250, 0.250, 0.750).

For the magnetic moment, the calculation gives 0.0 μB/cell. The density is 7.91 g/cm³.

S | Compound: P2RuRh
Source: Alexandria
Functional: GGA-PBE
Structure: optimized geometry

It has space group Cmmm (No. 65), with a = 2.896 Å, b = 5.166 Å, c = 7.610 Å, α = 90.00°, β = 90.00° and γ = 90.00°. The asymmetric unit holds P at (0.000, 0.000, 0.248), Ru at (0.000, 0.500, 0.000) and Rh at (0.000, 0.500, 0.500).

For the magnetic moment, the calculation gives 0.0 μB/cell. The density is 7.76 g/cm³.

Q has the most favorable energy; the next structure is 0.220 eV/atom above.

P | Compound: P2RuRh
Source: Alexandria
Functional: GGA-PBE
Structure: optimized geometry

It has space group Imm2 (No. 44), with a = 2.972 Å, b = 4.065 Å, c = 9.237 Å, α = 90.00°, β = 90.00° and γ = 90.00°. The asymmetric unit holds P at (0.000, 0.000, 0.000), P at (0.000, 0.500, 0.217), Ru at (0.000, 0.500, 0.707) and Rh at (0.000, 0.000, 0.500).

For the magnetic moment, the calculation gives 0.0 μB/cell. The density is 7.91 g/cm³.

Q | Compound: P2RuRh
Source: Alexandria
Functional: GGA-PBE
Structure: optimized geometry

It has space group P4mm (No. 99), with a = 3.309 Å, b = 3.309 Å, c = 4.972 Å, α = 90.00°, β = 90.00° and γ = 90.00°. The asymmetric unit holds P at (0.000, 0.000, 0.000), P at (0.500, 0.500, 0.350), Ru at (0.500, 0.500, 0.856) and Rh at (0.000, 0.000, 0.481).

For the magnetic moment, the calculation gives 0.6 μB/cell. The density is 8.11 g/cm³.

Q has the most favorable energy; the next structure is 0.232 eV/atom above.

P | Compound: P2RuRh
Source: Alexandria
Functional: GGA-PBE
Structure: optimized geometry

It has space group C2/m (No. 12), with a = 5.774 Å, b = 7.628 Å, c = 2.954 Å, α = 90.00°, β = 119.16° and γ = 90.00°. The asymmetric unit holds P at (0.250, 0.250, 0.000), Ru at (0.000, 0.000, 0.000) and Rh at (0.000, 0.500, 0.000).

For the magnetic moment, the calculation gives 0.0 μB/cell. The density is 7.77 g/cm³.

Q | Compound: P2RuRh
Source: Alexandria
Functional: GGA-PBE
Structure: optimized geometry

It has space group R-3m (No. 166, hexagonal axes), with a = 2.9199 Å, b = 2.9199 Å, c = 21.8214 Å, α = 90.00°, β = 90.00° and γ = 120.00°. The asymmetric unit holds P at (0.0000, 0.0000, 0.2484), Ru at (0.0000, 0.0000, 0.5000) and Rh at (0.0000, 0.0000, 0.0000).

For the magnetic moment, the calculation gives 0.0 μB/cell. The density is 8.22 g/cm³.

Q has the most favorable energy; the next structure is 0.402 eV/atom above.

P | Compound: P2RuRh
Source: Alexandria
Functional: GGA-PBE
Structure: optimized geometry

It has space group P4/mmm (No. 123), with a = 4.155 Å, b = 4.155 Å, c = 3.056 Å, α = 90.00°, β = 90.00° and γ = 90.00°. The asymmetric unit holds P at (0.000, 0.500, 0.000), Ru at (0.000, 0.000, 0.500) and Rh at (0.500, 0.500, 0.500).

For the magnetic moment, the calculation gives 0.3 μB/cell. The density is 8.37 g/cm³.

Q | Compound: P2RuRh
Source: Alexandria
Functional: GGA-PBE
Structure: optimized geometry

It has space group Immm (No. 71), with a = 2.903 Å, b = 5.106 Å, c = 7.631 Å, α = 90.00°, β = 90.00° and γ = 90.00°. The asymmetric unit holds P at (0.000, 0.000, 0.249), Ru at (0.000, 0.500, 0.500) and Rh at (0.000, 0.500, 0.000).

For the magnetic moment, the calculation gives 0.0 μB/cell. The density is 7.81 g/cm³.

P has the most favorable energy; the next structure is 0.235 eV/atom above.

P | Compound: P2RuRh
Source: Alexandria
Functional: GGA-PBE
Structure: optimized geometry

It has space group Cm (No. 8), with a = 7.606 Å, b = 3.308 Å, c = 4.842 Å, α = 90.00°, β = 104.21° and γ = 90.00°. The asymmetric unit holds P at (0.000, 0.000, 0.000), P at (0.210, 0.000, 0.533), Ru at (0.479, 0.000, 0.331) and Rh at (0.195, 0.500, 0.909).

For the magnetic moment, the calculation gives 0.0 μB/cell. The density is 7.48 g/cm³.

Q | Compound: P2RuRh
Source: Alexandria
Functional: GGA-PBE
Structure: optimized geometry

It has space group I-42d (No. 122), with a = 5.242 Å, b = 5.242 Å, c = 10.404 Å, α = 90.00°, β = 90.00° and γ = 90.00°. The asymmetric unit holds P at (0.246, 0.250, 0.125), Ru at (0.000, 0.000, 0.000) and Rh at (0.000, 0.000, 0.500).

For the magnetic moment, the calculation gives 0.0 μB/cell. The density is 6.18 g/cm³.

R | Compound: P2RuRh
Source: Alexandria
Functional: GGA-PBE
Structure: optimized geometry

It has space group P4mm (No. 99), with a = 2.873 Å, b = 2.873 Å, c = 7.550 Å, α = 90.00°, β = 90.00° and γ = 90.00°. The asymmetric unit holds P at (0.000, 0.000, 0.000), P at (0.500, 0.500, 0.384), Ru at (0.500, 0.500, 0.835) and Rh at (0.000, 0.000, 0.558).

For the magnetic moment, the calculation gives 0.0 μB/cell. The density is 7.08 g/cm³.

Q has the most favorable energy; the next structure is 0.006 eV/atom above.

P | Compound: PRuRhS2
Source: Alexandria
Functional: GGA-PBE
Structure: optimized geometry

It has space group P4/mmm (No. 123), with a = 4.606 Å, b = 4.606 Å, c = 4.433 Å, α = 90.00°, β = 90.00° and γ = 90.00°. The asymmetric unit holds P at (0.000, 0.000, 0.000), Ru at (0.000, 0.000, 0.500), Rh at (0.500, 0.500, 0.000) and S at (0.000, 0.500, 0.500).

For the magnetic moment, the calculation gives 0.8 μB/cell. The density is 5.28 g/cm³.

Q | Compound: PRuRhS2
Source: Alexandria
Functional: GGA-PBE
Structure: optimized geometry

It has space group P4/mmm (No. 123), with a = 4.685 Å, b = 4.685 Å, c = 4.392 Å, α = 90.00°, β = 90.00° and γ = 90.00°. The asymmetric unit holds P at (0.000, 0.000, 0.000), Ru at (0.500, 0.500, 0.000), Rh at (0.000, 0.000, 0.500) and S at (0.000, 0.500, 0.500).

For the magnetic moment, the calculation gives 2.4 μB/cell. The density is 5.15 g/cm³.

P has the most favorable energy; the next structure is 0.147 eV/atom above.